[1]
# RbIn2Fe (PBE, relaxed)
# ΔE_f ... 0.440 eV/atom
# V ... 161 Å³/f.u.
data_RbIn2Fe
_cell_length_a 8.9984
_cell_length_b 8.9984
_cell_length_c 8.9984
_cell_angle_alpha 138.10
_cell_angle_beta 138.10
_cell_angle_gamma 60.75
_space_group_name_H-M_alt 'P 1'
_space_group_IT_number 1
loop_
_space_group_symop_operation_xyz
'x,y,z'
loop_
_atom_site_label
_atom_site_fract_x
_atom_site_fract_y
_atom_site_fract_z
Rb1 0.3750 0.6250 0.7500
Rb2 0.6250 0.3750 0.2500
In1 0.0000 0.0000 0.0000
In2 0.0000 0.0000 0.5000
In3 0.0000 0.5000 0.0000
In4 0.5000 0.0000 0.5000
Fe1 0.1250 0.8750 0.2500
Fe2 0.8750 0.1250 0.7500

---

[2]
# CsH3I (PBE, relaxed)
# V ... 100 Å³/f.u.
# Raw total energy ... -7.7 eV/cell
data_CsH3I
_cell_length_a 4.6431
_cell_length_b 4.6431
_cell_length_c 4.6431
_cell_angle_alpha 90.00
_cell_angle_beta 90.00
_cell_angle_gamma 90.00
_space_group_name_H-M_alt 'P 1'
_space_group_IT_number 1
loop_
_space_group_symop_operation_xyz
'x,y,z'
loop_
_atom_site_label
_atom_site_fract_x
_atom_site_fract_y
_atom_site_fract_z
Cs1 0.0000 0.0000 0.0000
H1 0.0000 0.0000 0.5000
H2 0.0000 0.5000 0.0000
H3 0.5000 0.0000 0.0000
I1 0.5000 0.5000 0.5000

---

Please write out number 1 again, unchanged.
# RbIn2Fe (PBE, relaxed)
# ΔE_f ... 0.440 eV/atom
# V ... 161 Å³/f.u.
data_RbIn2Fe
_cell_length_a 8.9984
_cell_length_b 8.9984
_cell_length_c 8.9984
_cell_angle_alpha 138.10
_cell_angle_beta 138.10
_cell_angle_gamma 60.75
_space_group_name_H-M_alt 'P 1'
_space_group_IT_number 1
loop_
_space_group_symop_operation_xyz
'x,y,z'
loop_
_atom_site_label
_atom_site_fract_x
_atom_site_fract_y
_atom_site_fract_z
Rb1 0.3750 0.6250 0.7500
Rb2 0.6250 0.3750 0.2500
In1 0.0000 0.0000 0.0000
In2 0.0000 0.0000 0.5000
In3 0.0000 0.5000 0.0000
In4 0.5000 0.0000 0.5000
Fe1 0.1250 0.8750 0.2500
Fe2 0.8750 0.1250 0.7500

---

> Which value of V does entry 1 give?

161 Å³/f.u.

---

> V of number 1 (RbIn2Fe)?

161 Å³/f.u.